# Ba2Fe2F PBE+U relaxed
# * ΔE to the lowest computed polymorph: 0.000 eV/atom
# * E_tot: -3.719 eV/atom
# * spin magnetization: 10.1 μB per cell
data_Ba2Fe2F
_chemical_formula_sum 'Ba4 Fe4 F2'
_symmetry_space_group_name_H-M 'I 4/m m m'
_symmetry_Int_Tables_number 139
_symmetry_space_group_name_Hall '-I 4 2'
_cell_length_a 3.742
_cell_length_b 3.742
_cell_length_c 18.566
_cell_angle_alpha 90.00
_cell_angle_beta 90.00
_cell_angle_gamma 90.00
loop_
_atom_site_label
_atom_site_type_symbol
_atom_site_fract_x
_atom_site_fract_y
_atom_site_fract_z
Ba1 Ba 0.000 0.000 0.099
Fe1 Fe 0.000 0.500 0.250
F1 F 0.000 0.000 0.500